Compound: Y3Th5H12
Source: the Alexandria database
Functional: PBE
Structure: relaxed

Computed properties:
The density comes out at 8.0 g/cm³. As for the total energy: -104.4 eV per formula unit.

Lattice parameters (Å, degrees): 11.5941 11.5941 11.5941 109.47 109.47 109.47
Last column: nearest neighbours and their distance in Å.
Sites, in units of the cell vectors:
Y: 0.7500 0.3750 0.1250  8 H 2.27-2.41
Y: 0.8750 0.7500 0.1250  8 H 2.27-2.41
Y: 0.3750 0.7500 0.6250  8 H 2.27-2.41
Y: 0.2500 0.1250 0.3750  8 H 2.27-2.41
Y: 0.8750 0.1250 0.2500  8 H 2.27-2.41
Y: 0.3750 0.6250 0.2500  8 H 2.27-2.41
Y: 0.6250 0.3750 0.7500  8 H 2.27-2.41
Y: 0.1250 0.8750 0.7500  8 H 2.27-2.41
Y: 0.7500 0.8750 0.6250  8 H 2.27-2.41
Y: 0.6250 0.2500 0.3750  8 H 2.27-2.41
Y: 0.1250 0.2500 0.8750  8 H 2.27-2.41
Y: 0.2500 0.6250 0.8750  8 H 2.27-2.41
Th: 0.1250 0.3750 0.2500  4 H 2.34
Th: 0.0000 0.5000 0.0000  6 H 2.31
Th: 0.0000 0.0000 0.0000  6 H 2.31
Th: 0.3750 0.2500 0.1250  4 H 2.34
Th: 0.5000 0.0000 0.5000  6 H 2.31
Th: 0.5000 0.5000 0.0000  6 H 2.31
Th: 0.1250 0.7500 0.3750  4 H 2.34
Th: 0.7500 0.1250 0.8750  4 H 2.34
Th: 0.7500 0.6250 0.3750  4 H 2.34
Th: 0.3750 0.1250 0.7500  4 H 2.34
Th: 0.6250 0.8750 0.2500  4 H 2.34
Th: 0.5000 0.5000 0.5000  6 H 2.31
Th: 0.5000 0.0000 0.0000  6 H 2.31
Th: 0.0000 0.0000 0.5000  6 H 2.31
Th: 0.2500 0.3750 0.6250  4 H 2.34
Th: 0.2500 0.8750 0.1250  4 H 2.34
Th: 0.0000 0.5000 0.5000  6 H 2.31
Th: 0.8750 0.2500 0.6250  4 H 2.34
Th: 0.6250 0.7500 0.8750  4 H 2.34
Th: 0.8750 0.6250 0.7500  4 H 2.34
H: 0.7291 0.1597 0.0757  1 H 2.21, 2 Y 2.27-2.41, 2 Th 2.31-2.34
H: 0.3466 0.5757 0.4160  1 H 2.21, 2 Y 2.27-2.41, 2 Th 2.31-2.34
H: 0.9243 0.3403 0.2709  1 H 2.21, 2 Y 2.27-2.41, 2 Th 2.31-2.34
H: 0.5757 0.2291 0.1597  1 H 2.21, 2 Y 2.27-2.41, 2 Th 2.31-2.34
H: 0.5694 0.7291 0.6534  1 H 2.21, 2 Y 2.27-2.41, 2 Th 2.31-2.34
H: 0.9243 0.5840 0.1534  1 H 2.21, 2 Y 2.27-2.41, 2 Th 2.31-2.34
H: 0.3466 0.7709 0.4306  1 H 2.21, 2 Y 2.27-2.41, 2 Th 2.31-2.34
H: 0.0840 0.9306 0.1597  1 H 2.21, 2 Y 2.27-2.41, 2 Th 2.31-2.34
H: 0.5840 0.9243 0.6534  1 H 2.21, 2 Y 2.27-2.41, 2 Th 2.31-2.34
H: 0.7291 0.5694 0.1534  1 H 2.21, 2 Y 2.27-2.41, 2 Th 2.31-2.34
H: 0.7709 0.4243 0.3403  1 H 2.21, 2 Y 2.27-2.41, 2 Th 2.31-2.34
H: 0.8466 0.9160 0.0757  1 H 2.21, 2 Y 2.27-2.41, 2 Th 2.31-2.34
H: 0.1597 0.7291 0.5757  1 H 2.21, 2 Y 2.27-2.41, 2 Th 2.31-2.34
H: 0.3403 0.4160 0.0694  1 H 2.21, 2 Y 2.27-2.41, 2 Th 2.31-2.34
H: 0.0694 0.9160 0.3403  1 H 2.21, 2 Y 2.27-2.41, 2 Th 2.31-2.34
H: 0.4306 0.1597 0.5840  1 H 2.21, 2 Y 2.27-2.41, 2 Th 2.31-2.34
H: 0.0694 0.1534 0.2291  1 H 2.21, 2 Y 2.27-2.41, 2 Th 2.31-2.34
H: 0.4243 0.6534 0.0840  1 H 2.21, 2 Y 2.27-2.41, 2 Th 2.31-2.34
H: 0.8466 0.9306 0.2709  1 H 2.21, 2 Y 2.27-2.41, 2 Th 2.31-2.34
H: 0.1597 0.4306 0.0840  1 H 2.21, 2 Y 2.27-2.41, 2 Th 2.31-2.34
H: 0.3403 0.9243 0.7709  1 H 2.21, 2 Y 2.27-2.41, 2 Th 2.31-2.34
H: 0.5840 0.6597 0.4306  1 H 2.21, 2 Y 2.27-2.41, 2 Th 2.31-2.34
H: 0.9160 0.8466 0.5757  1 H 2.21, 2 Y 2.27-2.41, 2 Th 2.31-2.34
H: 0.7709 0.3466 0.9306  1 H 2.21, 2 Y 2.27-2.41, 2 Th 2.31-2.34
H: 0.4160 0.3403 0.5694  1 H 2.21, 2 Y 2.27-2.41, 2 Th 2.31-2.34
H: 0.0840 0.1534 0.4243  1 H 2.21, 2 Y 2.27-2.41, 2 Th 2.31-2.34
H: 0.2291 0.6534 0.0694  1 H 2.21, 2 Y 2.27-2.41, 2 Th 2.31-2.34
H: 0.1534 0.0694 0.7291  1 H 2.21, 2 Y 2.27-2.41, 2 Th 2.31-2.34
H: 0.6597 0.0757 0.2291  1 H 2.21, 2 Y 2.27-2.41, 2 Th 2.31-2.34
H: 0.8403 0.5694 0.9160  1 H 2.21, 2 Y 2.27-2.41, 2 Th 2.31-2.34
H: 0.5757 0.3466 0.9160  1 H 2.21, 2 Y 2.27-2.41, 2 Th 2.31-2.34
H: 0.5694 0.8403 0.4160  1 H 2.21, 2 Y 2.27-2.41, 2 Th 2.31-2.34
H: 0.9306 0.8466 0.7709  1 H 2.21, 2 Y 2.27-2.41, 2 Th 2.31-2.34
H: 0.9306 0.0840 0.6597  1 H 2.21, 2 Y 2.27-2.41, 2 Th 2.31-2.34
H: 0.8403 0.2709 0.4243  1 H 2.21, 2 Y 2.27-2.41, 2 Th 2.31-2.34
H: 0.1534 0.0840 0.9243  1 H 2.21, 2 Y 2.27-2.41, 2 Th 2.31-2.34
H: 0.6597 0.5840 0.9306  1 H 2.21, 2 Y 2.27-2.41, 2 Th 2.31-2.34
H: 0.4160 0.0757 0.3466  1 H 2.21, 2 Y 2.27-2.41, 2 Th 2.31-2.34
H: 0.2709 0.4306 0.8466  1 H 2.21, 2 Y 2.27-2.41, 2 Th 2.31-2.34
H: 0.2291 0.5757 0.6597  1 H 2.21, 2 Y 2.27-2.41, 2 Th 2.31-2.34
H: 0.9160 0.0694 0.8403  1 H 2.21, 2 Y 2.27-2.41, 2 Th 2.31-2.34
H: 0.6534 0.2291 0.5694  1 H 2.21, 2 Y 2.27-2.41, 2 Th 2.31-2.34
H: 0.4243 0.7709 0.8403  1 H 2.21, 2 Y 2.27-2.41, 2 Th 2.31-2.34
H: 0.0757 0.4160 0.8466  1 H 2.21, 2 Y 2.27-2.41, 2 Th 2.31-2.34
H: 0.4306 0.2709 0.3466  1 H 2.21, 2 Y 2.27-2.41, 2 Th 2.31-2.34
H: 0.0757 0.6597 0.7291  1 H 2.21, 2 Y 2.27-2.41, 2 Th 2.31-2.34
H: 0.6534 0.4243 0.5840  1 H 2.21, 2 Y 2.27-2.41, 2 Th 2.31-2.34
H: 0.2709 0.8403 0.9243  1 H 2.21, 2 Y 2.27-2.41, 2 Th 2.31-2.34



Compound: Y5Th3H12
Source: the Alexandria database
Functional: PBE
Structure: relaxed

Computed properties:
The density comes out at 6.5 g/cm³. As for the total energy: -104.2 eV per formula unit.

Lattice parameters (Å, degrees): 11.4990 11.4990 11.4990 109.47 109.47 109.47
Last column: nearest neighbours and their distance in Å.
Sites, in units of the cell vectors:
Th: 0.7500 0.3750 0.1250  8 H 2.36-2.41
Th: 0.8750 0.7500 0.1250  8 H 2.36-2.41
Th: 0.3750 0.7500 0.6250  8 H 2.36-2.41
Th: 0.2500 0.1250 0.3750  8 H 2.36-2.41
Th: 0.8750 0.1250 0.2500  8 H 2.36-2.41
Th: 0.3750 0.6250 0.2500  8 H 2.36-2.41
Th: 0.6250 0.3750 0.7500  8 H 2.36-2.41
Th: 0.1250 0.8750 0.7500  8 H 2.36-2.41
Th: 0.7500 0.8750 0.6250  8 H 2.36-2.41
Th: 0.6250 0.2500 0.3750  8 H 2.36-2.41
Th: 0.1250 0.2500 0.8750  8 H 2.36-2.41
Th: 0.2500 0.6250 0.8750  8 H 2.36-2.41
Y: 0.1250 0.3750 0.2500  4 H 2.26
Y: 0.0000 0.5000 0.0000  6 H 2.23
Y: 0.0000 0.0000 0.0000  6 H 2.23
Y: 0.3750 0.2500 0.1250  4 H 2.26
Y: 0.5000 0.0000 0.5000  6 H 2.23
Y: 0.5000 0.5000 0.0000  6 H 2.23
Y: 0.1250 0.7500 0.3750  4 H 2.26
Y: 0.7500 0.1250 0.8750  4 H 2.26
Y: 0.7500 0.6250 0.3750  4 H 2.26
Y: 0.3750 0.1250 0.7500  4 H 2.26
Y: 0.6250 0.8750 0.2500  4 H 2.26
Y: 0.5000 0.5000 0.5000  6 H 2.23
Y: 0.5000 0.0000 0.0000  6 H 2.23
Y: 0.0000 0.0000 0.5000  6 H 2.23
Y: 0.2500 0.3750 0.6250  4 H 2.26
Y: 0.2500 0.8750 0.1250  4 H 2.26
Y: 0.0000 0.5000 0.5000  6 H 2.23
Y: 0.8750 0.2500 0.6250  4 H 2.26
Y: 0.6250 0.7500 0.8750  4 H 2.26
Y: 0.8750 0.6250 0.7500  4 H 2.26
H: 0.7235 0.1473 0.0658  2 Y 2.23-2.26, 2 Th 2.36-2.41, 1 H 2.40
H: 0.3423 0.5658 0.4185  2 Y 2.23-2.26, 2 Th 2.36-2.41, 1 H 2.40
H: 0.9342 0.3527 0.2765  2 Y 2.23-2.26, 2 Th 2.36-2.41, 1 H 2.40
H: 0.5658 0.2235 0.1473  2 Y 2.23-2.26, 2 Th 2.36-2.41, 1 H 2.40
H: 0.5762 0.7235 0.6577  2 Y 2.23-2.26, 2 Th 2.36-2.41, 1 H 2.40
H: 0.9342 0.5815 0.1577  2 Y 2.23-2.26, 2 Th 2.36-2.41, 1 H 2.40
H: 0.3423 0.7765 0.4238  2 Y 2.23-2.26, 2 Th 2.36-2.41, 1 H 2.40
H: 0.0815 0.9238 0.1473  2 Y 2.23-2.26, 2 Th 2.36-2.41, 1 H 2.40
H: 0.5815 0.9342 0.6577  2 Y 2.23-2.26, 2 Th 2.36-2.41, 1 H 2.40
H: 0.7235 0.5762 0.1577  2 Y 2.23-2.26, 2 Th 2.36-2.41, 1 H 2.40
H: 0.7765 0.4342 0.3527  2 Y 2.23-2.26, 2 Th 2.36-2.41, 1 H 2.40
H: 0.8423 0.9185 0.0658  2 Y 2.23-2.26, 2 Th 2.36-2.41, 1 H 2.40
H: 0.1473 0.7235 0.5658  2 Y 2.23-2.26, 2 Th 2.36-2.41, 1 H 2.40
H: 0.3527 0.4185 0.0762  2 Y 2.23-2.26, 2 Th 2.36-2.41, 1 H 2.40
H: 0.0762 0.9185 0.3527  2 Y 2.23-2.26, 2 Th 2.36-2.41, 1 H 2.40
H: 0.4238 0.1473 0.5815  2 Y 2.23-2.26, 2 Th 2.36-2.41, 1 H 2.40
H: 0.0762 0.1577 0.2235  2 Y 2.23-2.26, 2 Th 2.36-2.41, 1 H 2.40
H: 0.4342 0.6577 0.0815  2 Y 2.23-2.26, 2 Th 2.36-2.41, 1 H 2.40
H: 0.8423 0.9238 0.2765  2 Y 2.23-2.26, 2 Th 2.36-2.41, 1 H 2.40
H: 0.1473 0.4238 0.0815  2 Y 2.23-2.26, 2 Th 2.36-2.41, 1 H 2.40
H: 0.3527 0.9342 0.7765  2 Y 2.23-2.26, 2 Th 2.36-2.41, 1 H 2.40
H: 0.5815 0.6473 0.4238  2 Y 2.23-2.26, 2 Th 2.36-2.41, 1 H 2.40
H: 0.9185 0.8423 0.5658  2 Y 2.23-2.26, 2 Th 2.36-2.41, 1 H 2.40
H: 0.7765 0.3423 0.9238  2 Y 2.23-2.26, 2 Th 2.36-2.41, 1 H 2.40
H: 0.4185 0.3527 0.5762  2 Y 2.23-2.26, 2 Th 2.36-2.41, 1 H 2.40
H: 0.0815 0.1577 0.4342  2 Y 2.23-2.26, 2 Th 2.36-2.41, 1 H 2.40
H: 0.2235 0.6577 0.0762  2 Y 2.23-2.26, 2 Th 2.36-2.41, 1 H 2.40
H: 0.1577 0.0762 0.7235  2 Y 2.23-2.26, 2 Th 2.36-2.41, 1 H 2.40
H: 0.6473 0.0658 0.2235  2 Y 2.23-2.26, 2 Th 2.36-2.41, 1 H 2.40
H: 0.8527 0.5762 0.9185  2 Y 2.23-2.26, 2 Th 2.36-2.41, 1 H 2.40
H: 0.5658 0.3423 0.9185  2 Y 2.23-2.26, 2 Th 2.36-2.41, 1 H 2.40
H: 0.5762 0.8527 0.4185  2 Y 2.23-2.26, 2 Th 2.36-2.41, 1 H 2.40
H: 0.9238 0.8423 0.7765  2 Y 2.23-2.26, 2 Th 2.36-2.41, 1 H 2.40
H: 0.9238 0.0815 0.6473  2 Y 2.23-2.26, 2 Th 2.36-2.41, 1 H 2.40
H: 0.8527 0.2765 0.4342  2 Y 2.23-2.26, 2 Th 2.36-2.41, 1 H 2.40
H: 0.1577 0.0815 0.9342  2 Y 2.23-2.26, 2 Th 2.36-2.41, 1 H 2.40
H: 0.6473 0.5815 0.9238  2 Y 2.23-2.26, 2 Th 2.36-2.41, 1 H 2.40
H: 0.4185 0.0658 0.3423  2 Y 2.23-2.26, 2 Th 2.36-2.41, 1 H 2.40
H: 0.2765 0.4238 0.8423  2 Y 2.23-2.26, 2 Th 2.36-2.41, 1 H 2.40
H: 0.2235 0.5658 0.6473  2 Y 2.23-2.26, 2 Th 2.36-2.41, 1 H 2.40
H: 0.9185 0.0762 0.8527  2 Y 2.23-2.26, 2 Th 2.36-2.41, 1 H 2.40
H: 0.6577 0.2235 0.5762  2 Y 2.23-2.26, 2 Th 2.36-2.41, 1 H 2.40
H: 0.4342 0.7765 0.8527  2 Y 2.23-2.26, 2 Th 2.36-2.41, 1 H 2.40
H: 0.0658 0.4185 0.8423  2 Y 2.23-2.26, 2 Th 2.36-2.41, 1 H 2.40
H: 0.4238 0.2765 0.3423  2 Y 2.23-2.26, 2 Th 2.36-2.41, 1 H 2.40
H: 0.0658 0.6473 0.7235  2 Y 2.23-2.26, 2 Th 2.36-2.41, 1 H 2.40
H: 0.6577 0.4342 0.5815  2 Y 2.23-2.26, 2 Th 2.36-2.41, 1 H 2.40
H: 0.2765 0.8527 0.9342  2 Y 2.23-2.26, 2 Th 2.36-2.41, 1 H 2.40



Compound: YThH
Source: the Alexandria database
Functional: PBE
Structure: relaxed

Computed properties:
The density comes out at 7.5 g/cm³. As for the total energy: -17.4 eV per formula unit. The calculation puts the energy above the lowest structure with this stoichiometry at 135 meV per atom.

Lattice parameters (Å, degrees): 3.3863 3.3863 6.6702 104.70 104.70 90.00
Last column: nearest neighbours and their distance in Å.
Sites, in units of the cell vectors:
Y: 0.7420 0.7420 0.4841  4 H 2.41
H: 0.2217 0.2217 0.4435  1 Th 2.31, 4 Y 2.41
Th: 0.0362 0.0362 0.0724  1 H 2.31



Compound: YTh3H
Source: the Alexandria database
Functional: PBE
Structure: relaxed

Computed properties:
The density comes out at 9.9 g/cm³. As for the total energy: -32.3 eV per formula unit.

Lattice parameters (Å, degrees): 5.0951 5.0951 5.0951 90.00 90.00 90.00
Last column: nearest neighbours and their distance in Å.
Sites, in units of the cell vectors:
Y: 0.5000 0.5000 0.5000  12 Th 3.60
H: 0.0000 0.0000 0.0000  6 Th 2.55
Th: 0.0000 0.5000 0.0000  2 H 2.55
Th: 0.0000 0.0000 0.5000  2 H 2.55
Th: 0.5000 0.0000 0.0000  2 H 2.55



Compound: Y2Th4H
Source: the Alexandria database
Functional: PBE
Structure: relaxed

Computed properties:
The density comes out at 8.8 g/cm³. As for the total energy: -44.5 eV per formula unit.

Lattice parameters (Å, degrees): 4.9408 4.9408 9.2816 74.56 74.56 90.00
Last column: nearest neighbours and their distance in Å.
Sites, in units of the cell vectors:
Y: 0.6446 0.6446 0.7109  9 Th 3.50
Y: 0.3554 0.3554 0.2891  9 Th 3.50
H: 0.0000 0.0000 0.0000  6 Th 2.47-2.61
Th: 0.8481 0.8481 0.3038  1 H 2.61
Th: 0.1519 0.1519 0.6962  1 H 2.61
Th: 0.0000 0.5000 0.0000  2 H 2.47
Th: 0.5000 0.0000 0.0000  2 H 2.47



Compound: YTh2H
Source: the Alexandria database
Functional: PBE
Structure: relaxed

Computed properties:
The density comes out at 9.2 g/cm³. As for the total energy: -23.9 eV per formula unit. The calculation puts the energy above the lowest structure with this stoichiometry at 100 meV per atom.

Lattice parameters (Å, degrees): 3.3958 3.3958 8.6725 90.00 90.00 90.00
Last column: nearest neighbours and their distance in Å.
Sites, in units of the cell vectors:
Y: 0.5000 0.5000 0.5000  4 Y 3.40, 8 Th 3.66
H: 0.5000 0.5000 0.0000  8 Th 2.87
Th: 0.0000 0.0000 0.8186  4 H 2.87, 1 Th 3.15
Th: 0.0000 0.0000 0.1814  4 H 2.87, 1 Th 3.15